Entry 1:
Computed, not measured: a relaxed BeCr2F crystal at the PBE with a Hubbard U level of DFT.

relative energy among the computed polymorphs: 141.5 meV per atom
density of states at the Fermi level: 0.7 states/eV/f.u.
energy: -20.12 eV/f.u.

Structure (CIF):
```
data_BeCr2F
_space_group_name_H-M_alt 'P 1'
_space_group_IT_number 1
_space_group_name_Hall 'P 1'
_cell_length_a 4.3349
_cell_length_b 4.3349
_cell_length_c 4.3349
_cell_angle_alpha 60.00
_cell_angle_beta 60.00
_cell_angle_gamma 60.00
loop_
_atom_site_label
_atom_site_fract_x
_atom_site_fract_y
_atom_site_fract_z
Be1 0.0000 0.0000 0.0000
Cr1 0.2500 0.2500 0.2500
Cr2 0.7500 0.7500 0.7500
F1 0.5000 0.5000 0.5000
```

Entry 2:
Computed, not measured: a relaxed BeCrF2 crystal at the PBE with a Hubbard U level of DFT.

relative energy among the computed polymorphs: 927.6 meV per atom
density of states at the Fermi level: 1.5 states/eV/f.u.
energy: -18.06 eV/f.u.

Structure (CIF):
```
data_BeCrF2
_space_group_name_H-M_alt 'P 1'
_space_group_IT_number 1
_space_group_name_Hall 'P 1'
_cell_length_a 4.0572
_cell_length_b 4.0572
_cell_length_c 4.0572
_cell_angle_alpha 60.00
_cell_angle_beta 60.00
_cell_angle_gamma 60.00
loop_
_atom_site_label
_atom_site_fract_x
_atom_site_fract_y
_atom_site_fract_z
Be1 0.0000 0.0000 0.0000
Cr1 0.5000 0.5000 0.5000
F1 0.2500 0.2500 0.2500
F2 0.7500 0.7500 0.7500
```

Entry 3:
Computed, not measured: a relaxed BeCrF4 crystal at the PBE with a Hubbard U level of DFT.

density of states at the Fermi level: 0.0 states/eV/f.u.
energy: -35.58 eV/f.u.

Structure (CIF):
```
data_BeCrF4
_space_group_name_H-M_alt 'P 1'
_space_group_IT_number 1
_space_group_name_Hall 'P 1'
_cell_length_a 4.4487
_cell_length_b 4.7312
_cell_length_c 4.7631
_cell_angle_alpha 107.70
_cell_angle_beta 109.77
_cell_angle_gamma 104.49
loop_
_atom_site_label
_atom_site_fract_x
_atom_site_fract_y
_atom_site_fract_z
Be1 0.0000 0.0000 0.0000
Cr1 0.2603 0.5301 0.5466
F1 0.0579 0.6912 0.8509
F2 0.3168 0.3266 0.1337
F3 0.6438 0.9645 0.7464
F4 0.9712 0.0489 0.3346
```

Entry 4:
Computed, not measured: a relaxed BeCr2F2 crystal at the PBE with a Hubbard U level of DFT.

relative energy among the computed polymorphs: 258.7 meV per atom
density of states at the Fermi level: 1.5 states/eV/f.u.
energy: -24.95 eV/f.u.

Structure (CIF):
```
data_BeCr2F2
_space_group_name_H-M_alt 'P 1'
_space_group_IT_number 1
_space_group_name_Hall 'P 1'
_cell_length_a 6.8869
_cell_length_b 6.8869
_cell_length_c 2.8907
_cell_angle_alpha 90.00
_cell_angle_beta 90.00
_cell_angle_gamma 90.00
loop_
_atom_site_label
_atom_site_fract_x
_atom_site_fract_y
_atom_site_fract_z
Be1 0.0000 0.0000 0.0000
Be2 0.5000 0.5000 0.0000
Cr1 0.1602 0.3398 0.0000
Cr2 0.3398 0.8398 0.0000
Cr3 0.6602 0.1602 0.0000
Cr4 0.8398 0.6602 0.0000
F1 0.1324 0.6324 0.5000
F2 0.3676 0.1324 0.5000
F3 0.6324 0.8676 0.5000
F4 0.8676 0.3676 0.5000
```

What is the density of states at the Fermi level in the fourth record? 1.5 states/eV/f.u.